{"formula": "LiGeBi", "functional": "PBE", "state": "optimized geometry", "volume_a3_per_atom": 24.614, "sg": "P3m1, No. 156", "final_energy_ev_per_atom": -3.496, "e_above_lowest_polymorph_ev_per_fu": 0.26, "magnetic_moment_mub_per_cell": 0.0, "lattice": [[3.302, 0.000, 0.000], [0.000, 5.082, 0.000], [0.000, -2.541, 4.401]], "species": ["Ge", "Li", "Bi"], "frac_coords": [[0.169, 0.000, 0.000], [0.666, 0.667, 0.333], [0.165, 0.333, 0.667]]}

{"formula": "Li5GeBi4", "functional": "PBE", "state": "optimized geometry", "volume_a3_per_atom": 22.368, "sg": "P4/mmm, No. 123", "final_energy_ev_per_atom": -3.315, "magnetic_moment_mub_per_cell": 0.0, "lattice": [[3.402, 0.000, 0.000], [0.000, 3.402, 0.000], [0.000, 0.000, 19.326]], "species": ["Bi", "Bi", "Bi", "Bi", "Li", "Li", "Li", "Li", "Li", "Ge"], "frac_coords": [[0.000, 0.000, 0.608], [0.000, 0.000, 0.824], [0.000, 0.000, 0.176], [0.000, 0.000, 0.392], [0.500, 0.500, 0.925], [0.500, 0.500, 0.286], [0.500, 0.500, 0.075], [0.500, 0.500, 0.500], [0.500, 0.500, 0.714], [0.000, 0.000, 0.000]]}

{"formula": "LiGeBi", "functional": "PBE", "state": "optimized geometry", "volume_a3_per_atom": 23.599, "sg": "Cmcm, No. 63", "final_energy_ev_per_atom": -3.584, "e_above_lowest_polymorph_ev_per_fu": 0.00, "magnetic_moment_mub_per_cell": 0.0, "lattice": [[-3.464, 1.665, -1.903], [-2.227, 0.152, 4.188], [4.214, 5.576, 2.039]], "species": ["Bi", "Bi", "Ge", "Ge", "Li", "Li"], "frac_coords": [[0.194, 0.250, 0.388], [0.806, 0.750, 0.612], [0.448, 0.750, 0.896], [0.552, 0.250, 0.104], [0.071, 0.750, 0.142], [0.929, 0.250, 0.858]]}

{"formula": "LiGeBi", "functional": "PBE", "state": "optimized geometry", "volume_a3_per_atom": 22.872, "sg": "F-43m, No. 216", "final_energy_ev_per_atom": -3.526, "e_above_lowest_polymorph_ev_per_fu": 0.17, "magnetic_moment_mub_per_cell": 0.0, "lattice": [[4.595, 0.000, 0.000], [2.298, 3.980, 0.000], [2.298, 1.327, 3.752]], "species": ["Ge", "Li", "Bi"], "frac_coords": [[0.000, 0.000, 0.000], [0.250, 0.250, 0.250], [0.500, 0.500, 0.500]]}

{"formula": "Li3GeBi", "functional": "PBE", "state": "optimized geometry", "volume_a3_per_atom": 21.828, "sg": "Pm-3m, No. 221", "final_energy_ev_per_atom": -2.833, "e_above_lowest_polymorph_ev_per_fu": 1.63, "magnetic_moment_mub_per_cell": 0.0, "lattice": [[-1.697, -2.197, 3.890], [0.158, -4.188, -2.296], [4.465, -0.687, 1.559]], "species": ["Bi", "Li", "Li", "Li", "Ge"], "frac_coords": [[0.500, 0.500, 0.500], [0.000, 0.500, 0.000], [0.000, 0.000, 0.500], [0.500, 0.000, 0.000], [0.000, 0.000, 0.000]]}

{"formula": "Li2NiGeBi", "functional": "PBE", "state": "optimized geometry", "volume_a3_per_atom": 19.522, "sg": "P4/mmm, No. 123", "final_energy_ev_per_atom": -3.693, "magnetic_moment_mub_per_cell": 0.0, "lattice": [[4.691, 0.000, 0.000], [0.000, 4.435, 0.000], [0.000, 0.000, 4.691]], "species": ["Ni", "Li", "Li", "Bi", "Ge"], "frac_coords": [[0.000, 0.000, 0.000], [0.500, 0.000, 0.000], [0.000, 0.000, 0.500], [0.500, 0.500, 0.500], [0.000, 0.500, 0.000]]}

Number 1: ρ 6.5 Mg/m³, ΔH_f (0 K) -0.025 eV per atom. Number 2: ρ 7.0 Mg/m³, ΔH_f (0 K) -0.344 eV per atom. Number 3: ρ 6.8 Mg/m³, ΔH_f (0 K) -0.113 eV per atom. Number 4: ρ 7.0 Mg/m³, ΔH_f (0 K) -0.055 eV per atom. Number 5: ρ 4.6 Mg/m³, ΔH_f (0 K) 0.015 eV per atom. Number 6: ρ 6.0 Mg/m³, ΔH_f (0 K) -0.071 eV per atom.